KSmTeCl2 after structural relaxation. Source: Alexandria, functional PBE.

* DFT total energy: -87.85 eV per cell

a b c (Å): 4.519 17.192 8.803
angles (deg): 90.00 90.00 90.00
Space group Cmcm (No. 63)
Asymmetric unit:
K  0.000  0.216  0.250
Sm  0.000  0.500  0.000
Te  0.000  0.010  0.750
Cl  0.000  0.344  0.519